Mg2CoBr | PBE | optimized geometry

a = 5.313 Å, b = 5.313 Å, c = 5.313 Å
α = 133.60°, β = 133.60°, γ = 67.72°
Positions (direct):
Mg1 0.250 0.750 0.500
Mg2 0.750 0.250 0.500
Co1 0.000 0.000 0.000
Br1 0.500 0.500 0.000

Values from the calculation:
Uncorrected energy in eV/f.u.: -10.83
Size of the total moment in μB/atom: 0.410
E_form (uncorrected) in meV/atom: 283
Calculated density in g cm⁻³: 4.03
Polymorph energy (0 for the lowest one) in meV per atom: 442